## Cs2ReSBr5 (GGA-PBE)

Data for a relaxed Cs2ReSBr5 crystal.

Values from the calculation:
- ΔE_f (raw): -0.93 eV per atom
- Space group: I4mm (107)

The structure in extended XYZ format:
```
9
Lattice="-3.8753 3.8753 5.4937 3.8753 -3.8753 5.4937 3.8753 3.8753 -5.4937" Properties=species:S:1:pos:R:3 pbc="T T T"
Cs 3.8753 0.0000 0.0000
Cs 0.0000 3.8753 0.0000
Re 0.0000 0.0000 2.9575
S 0.0000 0.0000 5.1280
Br 2.0759 2.0759 -2.7353
Br 1.7994 -1.7994 2.7584
Br 0.0000 0.0000 0.2788
Br -1.7994 1.7994 2.7584
Br 1.7994 1.7994 2.7584
```